Here is a relaxed structure of TbPr2DyHo from Alexandria. Energies are from GGA-PBE.

a = 7.316 Å, b = 8.430 Å, c = 7.178 Å
α = 125.96°, β = 90.00°, γ = 90.00°
Positions (direct):
Tb: 0.250 0.979 0.958
Tb: 0.750 0.021 0.042
Pr: 0.500 0.307 0.000
Pr: 0.000 0.693 0.000
Pr: 0.500 0.693 0.000
Pr: 0.000 0.307 0.000
Dy: 0.750 0.741 0.481
Dy: 0.250 0.259 0.519
Ho: 0.250 0.715 0.430
Ho: 0.750 0.285 0.570

Properties
Space group: No. 63
Energy of formation from the pure elements, eV/atom: 0.429

Here is a relaxed structure of Sm7TmTh3 from Alexandria. Energies are from GGA-PBE.

a = 8.626 Å, b = 7.149 Å, c = 7.149 Å
α = 120.00°, β = 90.00°, γ = 90.00°
Positions (direct):
Sm: 0.113 0.168 0.832
Sm: 0.113 0.168 0.337
Sm: 0.107 0.667 0.333
Sm: 0.455 0.832 0.168
Sm: 0.455 0.336 0.168
Sm: 0.455 0.832 0.664
Sm: 0.113 0.663 0.832
Tm: 0.458 0.333 0.667
Th: 0.782 0.499 0.501
Th: 0.782 0.499 0.998
Th: 0.782 0.002 0.501

Properties
Space group: No. 156
Energy of formation from the pure elements, eV/atom: 0.214

Here is a relaxed structure of CdHg2P from Alexandria. Energies are from GGA-PBE.

a = 5.263 Å, b = 5.263 Å, c = 5.263 Å
α = 128.22°, β = 128.22°, γ = 76.27°
Positions (direct):
Cd: 0.750 0.250 0.500
Hg: 0.000 0.000 0.000
Hg: 0.250 0.750 0.500
P: 0.500 0.500 0.000

Properties
Space group: No. 119
Energy of formation from the pure elements, eV/atom: 0.348
Energy above the most stable polymorph in this dataset, meV per atom: 271.8

Here is a relaxed structure of CrInSe from Alexandria. Energies are from GGA-PBE.

a = 6.494 Å, b = 6.493 Å, c = 3.395 Å
α = 74.85°, β = 74.84°, γ = 30.31°
Each line ends with the local moment (μB).
Positions (direct):
Cr: 0.036 0.036 0.964  3.44
In: 0.354 0.354 0.646  0.01
Se: 0.610 0.610 0.390  -0.09

Properties
Space group: No. 107
ΔE_f (raw), eV/f.u.: -0.09
Energy above the most stable polymorph in this dataset, meV per atom: 0.0

Here is a relaxed structure of ZrAgSb2 from Alexandria. Energies are from GGA-PBE.

a = 5.962 Å, b = 5.962 Å, c = 5.962 Å
α = 138.87°, β = 138.87°, γ = 59.58°
Positions (direct):
Ag: 0.750 0.250 0.500
Sb: 0.000 0.000 0.000
Sb: 0.250 0.750 0.500
Zr: 0.500 0.500 0.000

Properties
Space group: No. 119
ΔE_f (raw), eV/f.u.: -0.80

Here is a relaxed structure of AlCo2P from Alexandria. Energies are from GGA-PBE.

a = 2.732 Å, b = 2.732 Å, c = 6.087 Å
α = 90.00°, β = 90.00°, γ = 90.01°
Each line ends with the local moment (μB).
Positions (direct):
P: 0.500 0.500 0.250  0.00
Co: 0.000 0.000 0.036  0.33
Co: 0.000 0.000 0.464  0.33
Al: 0.500 0.500 0.750  0.00

Properties
Space group: No. 123
Energy of formation from the pure elements, eV/atom: -0.394
Energy above the most stable polymorph in this dataset, meV per atom: 9.1

Here is a relaxed structure of BaBe2CuRe from Alexandria. Energies are from GGA-PBE.

a = 4.577 Å, b = 4.863 Å, c = 4.577 Å
α = 90.00°, β = 90.00°, γ = 90.00°
Positions (direct):
Re: 0.000 0.000 0.000
Ba: 0.500 0.500 0.500
Cu: 0.000 0.500 0.000
Be: 0.000 0.000 0.500
Be: 0.500 0.000 0.000

Properties
Space group: No. 123
Energy of formation from the pure elements, eV/atom: 0.612

Here is a relaxed structure of NpAlNi2 from Alexandria. Energies are from GGA-PBE.

a = 2.840 Å, b = 2.840 Å, c = 7.119 Å
α = 90.00°, β = 90.00°, γ = 90.00°
Each line ends with the local moment (μB).
Positions (direct):
Np: 0.500 0.500 0.500  3.17
Ni: 0.000 0.000 0.795  0.15
Ni: 0.000 0.000 0.205  0.15
Al: 0.500 0.500 0.000  0.00

Properties
Space group: No. 123
Energy of formation from the pure elements, eV/atom: -0.258

Here is a relaxed structure of PmTiPb from Alexandria. Energies are from GGA-PBE.

a = 3.163 Å, b = 3.163 Å, c = 8.790 Å
α = 100.36°, β = 100.36°, γ = 90.00°
Each line ends with the local moment (μB).
Positions (direct):
Pb: 0.763 0.763 0.526  -0.02
Ti: 0.132 0.132 0.264  1.25
Pm: 0.955 0.955 0.910  0.08

Properties
Space group: No. 107
Energy of formation from the pure elements, eV/atom: 0.527
Energy above the most stable polymorph in this dataset, meV per atom: 538.1

Here is a relaxed structure of TaInRe2 from Alexandria. Energies are from GGA-PBE.

a = 5.330 Å, b = 5.330 Å, c = 5.330 Å
α = 144.74°, β = 127.98°, γ = 64.41°
Positions (direct):
In: 0.250 0.750 0.500
Re: 0.987 0.987 0.000
Re: 0.513 0.513 0.000
Ta: 0.750 0.250 0.500

Properties
Space group: No. 71
Energy of formation from the pure elements, eV/atom: 0.296

Here is a relaxed structure of KGa2RuPb from Alexandria. Energies are from GGA-PBE.

a = 4.914 Å, b = 4.914 Å, c = 5.347 Å
α = 90.00°, β = 90.00°, γ = 90.00°
Positions (direct):
Pb: 0.000 0.000 0.500
Ru: 0.000 0.000 0.000
K: 0.500 0.500 0.500
Ga: 0.000 0.500 0.000
Ga: 0.500 0.000 0.000

Properties
Space group: No. 123
Energy of formation from the pure elements, eV/atom: -0.061

Here is a relaxed structure of Na2AcZn9 from Alexandria. Energies are from GGA-PBE.

a = 5.549 Å, b = 5.549 Å, c = 9.244 Å
α = 72.53°, β = 72.53°, γ = 60.00°
Positions (direct):
Na: 0.855 0.855 0.435
Na: 0.145 0.145 0.565
Ac: 0.000 0.000 0.000
Zn: 0.666 0.666 0.003
Zn: 0.334 0.334 0.997
Zn: 0.500 0.500 0.500
Zn: 0.414 0.414 0.252
Zn: 0.920 0.414 0.252
Zn: 0.414 0.920 0.252
Zn: 0.586 0.586 0.748
Zn: 0.586 0.080 0.748
Zn: 0.080 0.586 0.748

Properties
Space group: No. 166
Energy of formation from the pure elements, eV/atom: -0.122

Density: 7.12; 8.34; 10.34; 5.87; 8.10; 6.43; 6.60; 11.03; 7.81; 16.30; 6.26; 6.19 (g/cm3)